# CsKIn (PBE-GGA, optimized geometry)
data_CsKIn
_space_group_name_H-M_alt 'P 1'
_space_group_IT_number 1
_cell_length_a 6.596
_cell_length_b 6.596
_cell_length_c 3.976
_cell_angle_alpha 90.00
_cell_angle_beta 90.00
_cell_angle_gamma 120.00
loop_
_space_group_symop_operation_xyz
'x,y,z'
loop_
_atom_site_label
_atom_site_type_symbol
_atom_site_fract_x
_atom_site_fract_y
_atom_site_fract_z
Cs1 Cs 0.000 0.000 0.000
K1 K 0.667 0.333 0.366
In1 In 0.333 0.667 0.577
# Crystal system: trigonal
# Magnetic moment, μB per formula unit: 0.00
# E above lowest polymorph, meV/atom: 175
# Symmetry: P3m1



# CsK4In (PBE-GGA, optimized geometry)
data_CsK4In
_space_group_name_H-M_alt 'P 1'
_space_group_IT_number 1
_cell_length_a 12.253
_cell_length_b 12.253
_cell_length_c 7.723
_cell_angle_alpha 108.27
_cell_angle_beta 108.27
_cell_angle_gamma 48.06
loop_
_space_group_symop_operation_xyz
'x,y,z'
loop_
_atom_site_label
_atom_site_type_symbol
_atom_site_fract_x
_atom_site_fract_y
_atom_site_fract_z
Cs1 Cs 0.212 0.212 0.212
Cs2 Cs 0.788 0.788 0.788
K1 K 0.124 0.665 0.395
K2 K 0.213 0.787 0.000
K3 K 0.335 0.876 0.605
K4 K 0.353 0.353 0.853
K5 K 0.647 0.647 0.147
K6 K 0.665 0.124 0.395
K7 K 0.787 0.213 0.000
K8 K 0.876 0.335 0.605
In1 In 0.500 0.500 0.309
In2 In 0.500 0.500 0.691
# Crystal system: monoclinic
# Magnetic moment, μB per formula unit: 0.00
# Symmetry: C2/m
# Electronic total energy, eV per atom: -1.332



# CsK2In2 (PBE-GGA, optimized geometry)
data_CsK2In2
_space_group_name_H-M_alt 'P 1'
_space_group_IT_number 1
_cell_length_a 11.061
_cell_length_b 11.061
_cell_length_c 3.781
_cell_angle_alpha 90.00
_cell_angle_beta 90.00
_cell_angle_gamma 90.00
loop_
_space_group_symop_operation_xyz
'x,y,z'
loop_
_atom_site_label
_atom_site_type_symbol
_atom_site_fract_x
_atom_site_fract_y
_atom_site_fract_z
Cs1 Cs 0.000 0.000 0.000
Cs2 Cs 0.500 0.500 0.000
K1 K 0.132 0.368 0.000
K2 K 0.368 0.868 0.000
K3 K 0.632 0.132 0.000
K4 K 0.868 0.632 0.000
In1 In 0.162 0.662 0.500
In2 In 0.338 0.162 0.500
In3 In 0.662 0.838 0.500
In4 In 0.838 0.338 0.500
# Crystal system: tetragonal
# Magnetic moment, μB per formula unit: 0.00
# E above lowest polymorph, meV/atom: 144
# Symmetry: P4/mbm